First-principles (PBE) data for a geometry-optimized K3Sc2PdO6 structure, as listed in Alexandria via LeMat-Bulk.

The mass density is 4.03 g/cm3. For the energy, the calculation gives -6.310 eV per atom. Its formation energy from raw total energies is -2.0687 eV per atom.

Structure (CIF):
```
data_K3Sc2PdO6
_cell_length_a 5.585
_cell_length_b 5.585
_cell_length_c 6.473
_cell_angle_alpha 99.44
_cell_angle_beta 99.44
_cell_angle_gamma 118.09
_space_group_name_H-M_alt 'P 1'
_space_group_IT_number 1
loop_
_space_group_symop_operation_xyz
'x,y,z'
loop_
_atom_site_label
_atom_site_type_symbol
_atom_site_fract_x
_atom_site_fract_y
_atom_site_fract_z
K1 K 0.164 0.836 0.500
K2 K 0.836 0.164 0.500
K3 K 0.500 0.500 0.500
Sc1 Sc 0.336 0.664 0.000
Sc2 Sc 0.664 0.336 0.000
Pd1 Pd 0.000 0.000 0.000
O1 O 0.940 0.609 0.825
O2 O 0.702 0.702 0.195
O3 O 0.060 0.391 0.175
O4 O 0.609 0.940 0.825
O5 O 0.298 0.298 0.805
O6 O 0.391 0.060 0.175
```